1.
First-principles (GGA-PBEsol) data for a relaxed CdAuO2 crystal, as listed in the Alexandria database. Values from VASP.

Summary:
magnetization	0.03	μB/f.u.
energy relative to the elements, uncorrected	-0.17	eV per atom

The structure in Quantum ESPRESSO input format:
```
&SYSTEM
  ibrav = 0, nat = 16, ntyp = 3
/
ATOMIC_SPECIES
Cd 112.41 Cd.upf
Au 196.97 Au.upf
O 16.00 O.upf
CELL_PARAMETERS angstrom
5.875 0.000 0.000
0.000 5.875 0.000
0.000 0.000 6.258
ATOMIC_POSITIONS angstrom
Cd 0.000 0.000 0.000
Cd 0.000 2.938 1.564
Cd 2.938 0.000 4.693
Cd 2.938 2.938 3.129
Au 0.000 0.000 3.129
Au 0.000 2.938 4.693
Au 2.938 0.000 1.564
Au 2.938 2.938 0.000
O 1.416 1.469 3.911
O 1.469 4.353 5.475
O 1.469 4.460 2.347
O 1.522 1.469 0.782
O 4.353 4.406 0.782
O 4.406 1.416 2.347
O 4.406 1.522 5.475
O 4.460 4.406 3.911
```

***

2.
First-principles (GGA-PBEsol) data for a relaxed CdAuO2 crystal, as listed in the Alexandria database. Values from VASP.

Summary:
magnetization	0.00	μB/f.u.
energy relative to the elements, uncorrected	-0.45	eV per atom

The structure in Quantum ESPRESSO input format:
```
&SYSTEM
  ibrav = 0, nat = 12, ntyp = 3
/
ATOMIC_SPECIES
Cd 112.41 Cd.upf
Au 196.97 Au.upf
O 16.00 O.upf
CELL_PARAMETERS angstrom
3.352 0.000 0.000
-1.676 2.903 0.000
0.000 0.000 18.574
ATOMIC_POSITIONS angstrom
Cd 0.000 0.000 0.000
Cd 0.000 1.935 12.383
Cd 1.676 0.968 6.191
Au 0.000 0.000 9.287
Au 0.000 1.935 3.096
Au 1.676 0.968 15.478
O 0.000 0.000 7.341
O 0.000 0.000 11.232
O 0.000 1.935 1.150
O 0.000 1.935 5.041
O 1.676 0.968 13.533
O 1.676 0.968 17.424
```

***

3.
First-principles (GGA-PBEsol) data for a relaxed CdAuO2 crystal, as listed in the Alexandria database. Values from VASP.

Summary:
magnetization	0.00	μB/f.u.
energy relative to the elements, uncorrected	-0.53	eV per atom

The structure in Quantum ESPRESSO input format:
```
&SYSTEM
  ibrav = 0, nat = 16, ntyp = 3
/
ATOMIC_SPECIES
Cd 112.41 Cd.upf
Au 196.97 Au.upf
O 16.00 O.upf
CELL_PARAMETERS angstrom
6.165 0.000 0.000
0.000 11.635 0.000
0.000 0.000 3.152
ATOMIC_POSITIONS angstrom
Cd 1.541 2.909 0.000
Cd 1.541 8.726 0.000
Cd 4.624 2.909 0.000
Cd 4.624 8.726 0.000
Au 0.000 0.000 1.576
Au 0.000 5.818 1.576
Au 3.083 0.000 1.576
Au 3.083 5.818 1.576
O 0.000 1.263 0.000
O 0.000 3.766 1.576
O 0.000 7.869 1.576
O 0.000 10.372 0.000
O 3.083 2.051 1.576
O 3.083 4.555 0.000
O 3.083 7.080 0.000
O 3.083 9.584 1.576
```

***

4.
First-principles (GGA-PBEsol) data for a relaxed CdP2AuO crystal, as listed in the Alexandria database. Values from VASP.

Summary:
magnetization	0.21	μB/f.u.
energy relative to the elements, uncorrected	0.69	eV per atom

The structure in Quantum ESPRESSO input format:
```
&SYSTEM
  ibrav = 0, nat = 5, ntyp = 4
/
ATOMIC_SPECIES
Cd 112.41 Cd.upf
P 30.97 P.upf
Au 196.97 Au.upf
O 16.00 O.upf
CELL_PARAMETERS angstrom
4.889 0.000 0.000
0.000 4.889 0.000
0.000 0.000 3.872
ATOMIC_POSITIONS angstrom
Cd 0.000 0.000 0.000
P 0.000 2.444 1.936
P 2.444 0.000 1.936
Au 2.444 2.444 1.936
O 2.444 2.444 0.000
```

***

5.
First-principles (GGA-PBEsol) data for a relaxed CdOsAu3 crystal, as listed in the Alexandria database. Values from VASP.

Summary:
energy	-3.77	eV/atom
magnetization	1.25	μB/f.u.

The structure in Quantum ESPRESSO input format:
```
&SYSTEM
  ibrav = 0, nat = 5, ntyp = 3
/
ATOMIC_SPECIES
Cd 112.41 Cd.upf
Os 190.23 Os.upf
Au 196.97 Au.upf
CELL_PARAMETERS angstrom
4.943 0.000 0.000
0.000 4.943 0.000
0.000 0.000 4.943
ATOMIC_POSITIONS angstrom
Cd 0.000 0.000 0.000
Os 2.471 2.471 2.471
Au 0.000 2.471 2.471
Au 2.471 0.000 2.471
Au 2.471 2.471 0.000
```

***

6.
First-principles (GGA-PBEsol) data for a relaxed Cd2OsAu crystal, as listed in the Alexandria database. Values from VASP.

Summary:
energy relative to the lowest polymorph listed for this composition	0.031	eV per atom
magnetization	0.00	μB/f.u.

The structure in Quantum ESPRESSO input format:
```
&SYSTEM
  ibrav = 0, nat = 4, ntyp = 3
/
ATOMIC_SPECIES
Cd 112.41 Cd.upf
Os 190.23 Os.upf
Au 196.97 Au.upf
CELL_PARAMETERS angstrom
2.840 0.000 0.000
0.000 2.840 0.000
0.000 0.000 8.448
ATOMIC_POSITIONS angstrom
Cd 0.000 0.000 2.036
Cd 0.000 0.000 6.413
Os 1.420 1.420 0.000
Au 1.420 1.420 4.224
```

***

7.
First-principles (GGA-PBEsol) data for a relaxed CdOs2Au crystal, as listed in the Alexandria database. Values from VASP.

Summary:
energy	-6.70	eV/atom
magnetization	0.00	μB/f.u.

The structure in Quantum ESPRESSO input format:
```
&SYSTEM
  ibrav = 0, nat = 8, ntyp = 3
/
ATOMIC_SPECIES
Cd 112.41 Cd.upf
Os 190.23 Os.upf
Au 196.97 Au.upf
CELL_PARAMETERS angstrom
5.423 0.000 0.000
0.000 9.808 0.000
-1.398 0.000 2.401
ATOMIC_POSITIONS angstrom
Cd 0.000 0.000 0.000
Cd 2.711 4.904 0.000
Os 0.656 2.452 1.200
Os 0.656 7.356 1.200
Os 3.368 2.452 1.200
Os 3.368 7.356 1.200
Au 0.000 4.904 0.000
Au 2.711 0.000 0.000
```

***

8.
First-principles (GGA-PBEsol) data for a relaxed Cd2OsAu crystal, as listed in the Alexandria database. Values from VASP.

Summary:
energy relative to the lowest polymorph listed for this composition	0.112	eV per atom
magnetization	0.00	μB/f.u.

The structure in Quantum ESPRESSO input format:
```
&SYSTEM
  ibrav = 0, nat = 4, ntyp = 3
/
ATOMIC_SPECIES
Cd 112.41 Cd.upf
Os 190.23 Os.upf
Au 196.97 Au.upf
CELL_PARAMETERS angstrom
2.766 0.000 0.000
0.000 4.266 0.000
0.000 0.000 5.789
ATOMIC_POSITIONS angstrom
Cd 0.000 0.000 0.000
Cd 1.383 2.133 1.605
Os 0.000 0.000 2.913
Au 1.383 2.133 4.391
```

***

9.
First-principles (GGA-PBEsol) data for a relaxed CdOs2Au crystal, as listed in the Alexandria database. Values from VASP.

Summary:
energy	-6.71	eV/atom
magnetization	0.00	μB/f.u.

The structure in Quantum ESPRESSO input format:
```
&SYSTEM
  ibrav = 0, nat = 8, ntyp = 3
/
ATOMIC_SPECIES
Cd 112.41 Cd.upf
Os 190.23 Os.upf
Au 196.97 Au.upf
CELL_PARAMETERS angstrom
4.033 0.000 0.000
0.000 4.033 0.000
0.000 0.000 7.667
ATOMIC_POSITIONS angstrom
Cd 0.000 0.000 0.000
Cd 2.017 2.017 3.834
Os 0.000 0.000 3.834
Os 0.000 2.017 1.917
Os 2.017 0.000 5.750
Os 2.017 2.017 0.000
Au 0.000 2.017 5.750
Au 2.017 0.000 1.917
```

***

10.
First-principles (GGA-PBEsol) data for a relaxed Cd2OsAu crystal, as listed in the Alexandria database. Values from VASP.

Summary:
energy relative to the lowest polymorph listed for this composition	0.000	eV per atom
magnetization	0.00	μB/f.u.

The structure in Quantum ESPRESSO input format:
```
&SYSTEM
  ibrav = 0, nat = 12, ntyp = 3
/
ATOMIC_SPECIES
Cd 112.41 Cd.upf
Os 190.23 Os.upf
Au 196.97 Au.upf
CELL_PARAMETERS angstrom
2.883 0.000 0.000
-1.442 2.497 0.000
0.000 0.000 28.304
ATOMIC_POSITIONS angstrom
Cd 0.000 0.000 7.018
Cd 0.000 0.000 21.286
Cd 0.000 1.665 11.851
Cd 0.000 1.665 25.887
Cd 1.442 0.832 2.416
Cd 1.442 0.832 16.452
Os 0.000 0.000 14.152
Os 0.000 1.665 4.717
Os 1.442 0.832 23.586
Au 0.000 0.000 0.000
Au 0.000 1.665 18.869
Au 1.442 0.832 9.434
```

***

11.
First-principles (GGA-PBEsol) data for a relaxed CdOs2Au crystal, as listed in the Alexandria database. Values from VASP.

Summary:
energy	-6.73	eV/atom
magnetization	0.00	μB/f.u.

The structure in Quantum ESPRESSO input format:
```
&SYSTEM
  ibrav = 0, nat = 8, ntyp = 3
/
ATOMIC_SPECIES
Cd 112.41 Cd.upf
Os 190.23 Os.upf
Au 196.97 Au.upf
CELL_PARAMETERS angstrom
2.793 0.000 0.000
0.000 4.776 0.000
0.000 0.000 9.800
ATOMIC_POSITIONS angstrom
Cd 0.000 0.000 0.000
Cd 1.397 2.388 4.900
Os 0.000 0.000 4.615
Os 0.000 2.388 7.456
Os 1.397 0.000 2.556
Os 1.397 2.388 9.515
Au 0.000 2.388 2.226
Au 1.397 0.000 7.126
```

***

12.
First-principles (GGA-PBEsol) data for a relaxed TlCd2OsAu crystal, as listed in the Alexandria database. Values from VASP.

Summary:
energy	-3.22	eV/atom
magnetization	0.07	μB/f.u.

The structure in Quantum ESPRESSO input format:
```
&SYSTEM
  ibrav = 0, nat = 5, ntyp = 4
/
ATOMIC_SPECIES
Tl 204.38 Tl.upf
Cd 112.41 Cd.upf
Os 190.23 Os.upf
Au 196.97 Au.upf
CELL_PARAMETERS angstrom
5.108 0.000 0.000
0.000 5.108 0.000
0.000 0.000 5.094
ATOMIC_POSITIONS angstrom
Tl 0.000 0.000 0.000
Cd 0.000 2.554 2.547
Cd 2.554 0.000 2.547
Os 0.000 0.000 2.547
Au 2.554 2.554 0.000
```